VASP calculation (PBE+U) on crystalline Cd2NiMoO6 at its relaxed geometry.

Cell lengths 5.4151, 5.5428, 9.5100 Å; angles 90.00, 124.58, 90.00 degrees
With the nearest neighbours (Å) after each atom.
Fractional coordinates of all 20 atoms:
Cd (0.2395, 0.0451, 0.2496)  4 O 2.26-2.39
Cd (0.2395, 0.4549, 0.7496)  4 O 2.26-2.39
Cd (0.7605, 0.5451, 0.2504)  4 O 2.26-2.39
Cd (0.7605, 0.9549, 0.7504)  4 O 2.26-2.39
Ni (0.5000, 0.0000, 0.0000)  6 O 2.08-2.11
Ni (0.5000, 0.5000, 0.5000)  6 O 2.08-2.11
Mo (0.0000, 0.0000, 0.5000)  6 O 1.95-1.97
Mo (0.0000, 0.5000, 0.0000)  6 O 1.95-1.97
O (0.1292, 0.2090, 0.9427)  1 Mo 1.95, 1 Ni 2.10
O (0.1292, 0.2910, 0.4427)  1 Mo 1.95, 1 Ni 2.10
O (0.2433, 0.6921, 0.9509)  1 Mo 1.95, 1 Ni 2.08
O (0.2433, 0.8079, 0.4509)  1 Mo 1.95, 1 Ni 2.08
O (0.3417, 0.0384, 0.7405)  1 Mo 1.97, 1 Ni 2.11
O (0.3417, 0.4616, 0.2405)  1 Mo 1.97, 1 Ni 2.11
O (0.6583, 0.5384, 0.7595)  1 Mo 1.97, 1 Ni 2.11
O (0.6583, 0.9616, 0.2595)  1 Mo 1.97, 1 Ni 2.11
O (0.7567, 0.1921, 0.5491)  1 Mo 1.95, 1 Ni 2.08
O (0.7567, 0.3079, 0.0491)  1 Mo 1.95, 1 Ni 2.08
O (0.8708, 0.7090, 0.5573)  1 Mo 1.95, 1 Ni 2.10
O (0.8708, 0.7910, 0.0573)  1 Mo 1.95, 1 Ni 2.10

Values from the calculation:
Fermi-level density of states in states/eV per cell: 0.00
Crystal system: monoclinic
Spin magnetization in μB/f.u.: 1.93
VASP energy in eV per atom: -5.37
Volume in Å³ per atom: 11.75

***

VASP calculation (PBE+U) on crystalline CdNiMo2O8 at its relaxed geometry.

Cell lengths 6.0306, 6.0306, 6.0306 Å; angles 109.65, 109.65, 109.12 degrees
With the nearest neighbours (Å) after each atom.
Fractional coordinates of all 12 atoms:
Cd (0.0000, 0.0000, 0.0000)  4 O 2.17
Ni (0.7500, 0.2500, 0.5000)  4 O 2.12
Mo (0.2500, 0.7500, 0.5000)  4 O 1.78
Mo (0.5000, 0.5000, 0.0000)  4 O 1.81
O (0.0940, 0.3911, 0.2970)  1 Mo 1.78
O (0.0940, 0.7970, 0.7030)  1 Mo 1.78
O (0.1366, 0.3485, 0.7881)  1 Mo 1.81
O (0.2030, 0.9060, 0.2970)  1 Mo 1.78
O (0.5604, 0.3485, 0.2119)  1 Mo 1.81
O (0.6089, 0.9060, 0.7030)  1 Mo 1.78
O (0.6515, 0.4396, 0.7881)  1 Mo 1.81
O (0.6515, 0.8634, 0.2119)  1 Mo 1.81

Values from the calculation:
Fermi-level density of states in states/eV per cell: 5.75
Crystal system: tetragonal
Spin magnetization in μB/f.u.: 2.00
VASP energy in eV per atom: -6.00
Volume in Å³ per atom: 14.07